# 1
## CaMoI2O (PBE+U)

Data for crystalline CaMoI2O at its relaxed geometry.

abc: 6.1410 6.1410 3.9532
angles: 90.00 90.00 90.00
Fractional positions:
Ca  0.0000  0.0000  0.0000
Mo  0.5000  0.5000  0.5000
I  0.0000  0.5000  0.5000
I  0.5000  0.0000  0.5000
O  0.5000  0.5000  0.0000

## Properties
The calculation puts the polymorph energy (0 for the lowest one) at 0 meV/atom. As for the space group: P4/mmm, No. 123. The value obtained for the total DFT energy (no corrections) is -4.19 eV per atom.



# 2
## CaMoIO2 (PBE+U)

Data for crystalline CaMoIO2 at its relaxed geometry.

abc: 4.1903 4.1903 5.7553
angles: 90.00 90.00 90.00
Fractional positions:
Ca  0.0000  0.0000  0.0000
Mo  0.5000  0.5000  0.5000
I  0.5000  0.5000  0.0000
O  0.0000  0.5000  0.5000
O  0.5000  0.0000  0.5000

## Properties
The calculation puts the polymorph energy (0 for the lowest one) at 0 meV/atom. As for the space group: P4/mmm, No. 123. The value obtained for the total DFT energy (no corrections) is -5.16 eV per atom.



# 3
## CaMoIO2 (PBE+U)

Data for crystalline CaMoIO2 at its relaxed geometry.

abc: 4.3767 4.3767 6.2353
angles: 90.00 90.00 90.00
Fractional positions:
Ca  0.0000  0.0000  0.0000
Mo  0.5000  0.5000  0.5000
I  0.0000  0.0000  0.5000
O  0.0000  0.5000  0.0000
O  0.5000  0.0000  0.0000

## Properties
The calculation puts the polymorph energy (0 for the lowest one) at 761 meV/atom. As for the space group: P4/mmm, No. 123. The value obtained for the total DFT energy (no corrections) is -4.40 eV per atom.



# 4
## CaMoI2O (PBE+U)

Data for crystalline CaMoI2O at its relaxed geometry.

abc: 6.1474 6.1474 4.1937
angles: 90.00 90.00 90.00
Fractional positions:
Ca  0.0000  0.0000  0.0000
Mo  0.5000  0.5000  0.5000
I  0.0000  0.5000  0.0000
I  0.5000  0.0000  0.0000
O  0.0000  0.0000  0.5000

## Properties
The calculation puts the polymorph energy (0 for the lowest one) at 384 meV/atom. As for the space group: P4/mmm, No. 123. The value obtained for the total DFT energy (no corrections) is -3.81 eV per atom.



Q: Which of these has the highest total DFT energy (no corrections)?
A: number 4



Q: The highest total DFT energy (no corrections) belongs to which entry?
A: number 4



Q: Number 3 is which compound?
A: CaMoIO2



Q: Which of these has the highest polymorph energy (0 for the lowest one)?
A: number 3